Record 1
! Sc4TlSnC (PBE, optimized geometry); values from VASP
&SYSTEM
  ibrav = 0, nat = 14, ntyp = 4
/
ATOMIC_SPECIES
Sc 44.96 Sc.upf
Sn 118.71 Sn.upf
C 12.01 C.upf
Tl 204.38 Tl.upf
CELL_PARAMETERS angstrom
-5.744 -1.560 2.212
2.687 -2.704 5.073
2.514 7.288 2.553
ATOMIC_POSITIONS angstrom
Sc 2.601 2.292 3.813
Sc 1.257 3.644 1.276
Sc -2.491 3.831 5.346
Sc -1.615 2.864 2.382
Sc 1.725 3.257 6.776
Sc 1.948 -0.806 4.492
Sc -2.268 -0.233 3.062
Sc -0.272 1.512 4.919
Sn 0.594 0.739 2.064
Sn -1.137 2.286 7.774
C 1.836 1.227 5.634
C -2.379 1.798 4.203
Tl 0.391 4.428 4.137
Tl -0.934 -1.403 5.700
! - DOS at the Fermi energy (states/eV/f.u.) = 4.99
! - uncorrected energy (eV per cell) = -89.7



Record 2
! PrBePt (PBE, optimized geometry); values from VASP
&SYSTEM
  ibrav = 0, nat = 6, ntyp = 3
/
ATOMIC_SPECIES
Pt 195.08 Pt.upf
Pr 140.91 Pr.upf
Be 9.01 Be.upf
CELL_PARAMETERS angstrom
4.042 -0.001 0.000
-2.021 3.501 0.000
0.000 0.000 8.522
ATOMIC_POSITIONS angstrom
Pt 1.010 2.917 6.391
Pt 1.011 0.583 2.130
Pr -1.010 1.750 4.261
Pr -1.010 1.750 0.000
Be 1.011 2.916 2.130
Be 1.010 0.583 6.391
! - DOS at the Fermi energy (states/eV/f.u.) = 2.90
! - polymorph energy (0 for the lowest one) (eV/atom) = 0.0000
! - uncorrected energy (eV per cell) = -33.6



Record 3
! LiDyGa (PBE, optimized geometry); values from VASP
&SYSTEM
  ibrav = 0, nat = 9, ntyp = 3
/
ATOMIC_SPECIES
Ga 69.72 Ga.upf
Dy 162.50 Dy.upf
Li 6.94 Li.upf
CELL_PARAMETERS angstrom
-1.343 3.794 -1.763
-6.199 -3.008 -1.751
0.745 3.195 6.307
ATOMIC_POSITIONS angstrom
Ga -1.570 1.127 3.621
Ga -6.871 -1.111 -2.632
Ga -3.885 -0.940 0.935
Dy -4.238 0.166 -1.889
Dy -6.442 0.727 0.996
Dy -2.988 1.976 1.054
Li -1.453 -0.705 -0.410
Li -4.176 0.143 3.489
Li -6.025 -2.259 -0.273
! - DOS at the Fermi energy (states/eV/f.u.) = 2.44
! - polymorph energy (0 for the lowest one) (eV/atom) = 0.0000
! - uncorrected energy (eV per cell) = -32.3